Below is TmCdAu after structural relaxation, with properties calculated at the PBE-GGA level.

For the density, the calculation gives 11.962 Mg/m³. The total energy is -21.228 eV/cell. The calculation puts the formation energy at -0.650 eV/atom.

The space group is P6_3/mmc (No. 194) and the conventional cell measures 5.0542, 5.0542 and 6.0019 Å, with angles of 90.00, 90.00 and 120.00 degrees. The inequivalent atoms are Tm at (0.3333, 0.6667, 0.2500), Cd at (0.0000, 0.0000, 0.0000) and Au at (0.3333, 0.6667, 0.7500).